Crystalline Mg6VCo at its relaxed geometry. Source: Alexandria, functional PBE.

Results
The value obtained for the energy of formation from the pure elements is 0.259 eV per atom. The value obtained for the distance to the lowest polymorph of the same formula is 29.7 meV per atom. The density of states at the Fermi level comes out at 7.3 states/eV/f.u.

abc: 6.100 6.100 4.817
angles: 90.00 90.00 121.32
Sites, in units of the cell vectors:
Mg: 0.327 0.171 0.500
V: 0.329 0.671 0.500
Co: 0.831 0.169 0.500
Mg: 0.175 0.825 0.000
Mg: 0.829 0.673 0.500
Mg: 0.667 0.841 0.000
Mg: 0.159 0.333 0.000
Mg: 0.682 0.318 0.000

---

Crystalline SmTh2Mg at its relaxed geometry. Source: Alexandria, functional PBE.

Results
The value obtained for the energy of formation from the pure elements is 0.241 eV per atom. The value obtained for the distance to the lowest polymorph of the same formula is 179.1 meV per atom. The density of states at the Fermi level comes out at 3.9 states/eV/f.u.

abc: 3.380 3.380 12.732
angles: 82.37 82.37 60.00
Sites, in units of the cell vectors:
Th: 0.090 0.090 0.731
Th: 0.910 0.910 0.269
Mg: 0.500 0.500 0.500
Sm: 0.000 0.000 0.000

---

Crystalline MgBRu2 at its relaxed geometry. Source: Alexandria, functional PBE.

Results
The value obtained for the energy of formation from the pure elements is 0.388 eV per atom. The density of states at the Fermi level comes out at 4.7 states/eV/f.u.

abc: 4.102 4.102 4.102
angles: 60.00 60.00 60.00
Sites, in units of the cell vectors:
B: 0.000 0.000 0.000
Ru: 0.250 0.250 0.250
Mg: 0.500 0.500 0.500
Ru: 0.750 0.750 0.750

---

Crystalline ZrI at its relaxed geometry. Source: Alexandria, functional PBE.

Results
The calculation puts the uncorrected formation energy at -0.0317 eV per atom. The density of states at the Fermi level comes out at 1.2 states/eV/f.u.

abc: 12.203 12.203 3.649
angles: 90.00 90.00 90.00
Sites, in units of the cell vectors:
Zr: 0.665 0.198 0.000
Zr: 0.835 0.302 0.500
Zr: 0.802 0.665 0.000
I: 0.290 0.561 0.000
I: 0.710 0.439 0.000
I: 0.939 0.790 0.500
I: 0.210 0.939 0.500
Zr: 0.302 0.165 0.500
Zr: 0.335 0.802 0.000
I: 0.790 0.061 0.500
I: 0.561 0.710 0.000
I: 0.439 0.290 0.000
Zr: 0.198 0.335 0.000
Zr: 0.165 0.698 0.500
Zr: 0.698 0.835 0.500
I: 0.061 0.210 0.500

---

Crystalline Ac2ScIn2 at its relaxed geometry. Source: Alexandria, functional PBE.

Results
The value obtained for the energy of formation from the pure elements is -0.327 eV per atom. The value obtained for the distance to the lowest polymorph of the same formula is 31.4 meV per atom. The density of states at the Fermi level comes out at 6.3 states/eV/f.u.

abc: 4.872 6.606 6.606
angles: 62.04 68.36 68.36
Sites, in units of the cell vectors:
Sc: 0.000 0.000 0.000
In: 0.500 0.740 0.260
Ac: 0.805 0.695 0.695
Ac: 0.195 0.305 0.305
In: 0.500 0.260 0.740

---

Crystalline Ti5VIn2 at its relaxed geometry. Source: Alexandria, functional PBE.

Results
The value obtained for the energy of formation from the pure elements is -0.036 eV per atom. The density of states at the Fermi level comes out at 10.6 states/eV/f.u.

abc: 4.131 4.131 8.924
angles: 103.38 103.38 90.00
Sites, in units of the cell vectors:
V: 0.000 0.000 0.000
Ti: 0.113 0.613 0.226
In: 0.250 0.250 0.500
Ti: 0.613 0.113 0.226
Ti: 0.887 0.387 0.774
Ti: 0.500 0.500 0.000
In: 0.750 0.750 0.500
Ti: 0.387 0.887 0.774

---

Crystalline Tm2ZnGa4Ir3 at its relaxed geometry. Source: Alexandria, functional PBE.

Results
The value obtained for the energy of formation from the pure elements is -0.628 eV per atom. The density of states at the Fermi level comes out at 5.0 states/eV/f.u.

abc: 3.944 3.944 11.525
angles: 90.00 90.00 90.00
Sites, in units of the cell vectors:
Zn: 0.500 0.500 0.500
Ir: 0.000 0.000 0.500
Tm: 0.500 0.000 0.242
Ga: 0.000 0.500 0.361
Tm: 0.000 0.500 0.758
Ga: 0.500 0.000 0.639
Ir: 0.500 0.000 0.856
Ga: 0.000 0.000 0.000
Ir: 0.000 0.500 0.144
Ga: 0.500 0.500 0.000

---

Crystalline Pm5HoAl3 at its relaxed geometry. Source: Alexandria, functional PBE.

Results
The value obtained for the energy of formation from the pure elements is -0.241 eV per atom. The density of states at the Fermi level comes out at 10.7 states/eV/f.u.

abc: 6.785 9.243 9.244
angles: 120.00 90.00 90.00
Sites, in units of the cell vectors:
Al: 0.250 0.000 0.328
Al: 0.750 0.328 0.328
Pm: 0.000 0.667 0.334
Pm: 0.250 0.000 0.665
Pm: 0.750 0.000 0.335
Al: 0.750 0.672 0.000
Pm: 0.750 0.335 0.000
Pm: 0.250 0.335 0.335
Al: 0.750 0.000 0.672
Al: 0.250 0.328 0.000
Ho: 0.000 0.000 0.000
Al: 0.250 0.672 0.672
Pm: 0.250 0.665 0.000
Pm: 0.500 0.667 0.334
Pm: 0.500 0.333 0.666
Pm: 0.750 0.665 0.665
Pm: 0.000 0.333 0.666
Ho: 0.500 0.000 0.000

---

Crystalline TbEr2PuS4 at its relaxed geometry. Source: Alexandria, functional PBE.

Results
The calculation puts the uncorrected formation energy at -1.9483 eV per atom. The density of states at the Fermi level comes out at 7.3 states/eV/f.u.

abc: 3.886 6.760 6.771
angles: 109.19 90.00 90.00
Sites, in units of the cell vectors:
S: 0.500 0.251 0.256
Pu: 0.500 0.500 0.000
S: 0.000 0.247 0.743
S: 0.000 0.753 0.257
S: 0.500 0.749 0.744
Er: 0.500 0.000 0.500
Er: 0.000 0.500 0.500
Tb: 0.000 0.000 0.000

---

Crystalline Tm3TeC at its relaxed geometry. Source: Alexandria, functional PBE.

Results
The value obtained for the distance to the lowest polymorph of the same formula is 0.0 meV per atom. The calculation puts the uncorrected formation energy at -0.5854 eV per atom. The density of states at the Fermi level comes out at 3.8 states/eV/f.u.

abc: 6.192 9.093 9.093
angles: 93.93 101.03 101.03
Sites, in units of the cell vectors:
C: 0.750 0.785 0.215
Te: 0.554 0.740 0.596
Tm: 0.444 0.805 0.003
Te: 0.946 0.404 0.260
Te: 0.054 0.596 0.740
Tm: 0.915 0.654 0.059
Tm: 0.056 0.997 0.195
Tm: 0.037 0.739 0.418
C: 0.750 0.216 0.784
Tm: 0.537 0.418 0.739
Tm: 0.415 0.059 0.654
Tm: 0.944 0.003 0.805
Tm: 0.963 0.261 0.582
Te: 0.446 0.260 0.404
Tm: 0.463 0.582 0.261
Tm: 0.585 0.941 0.346
Tm: 0.556 0.195 0.997
Tm: 0.085 0.346 0.941
C: 0.250 0.784 0.216
C: 0.250 0.215 0.785

---

Crystalline MnFe5Tc2B2 at its relaxed geometry. Source: Alexandria, functional PBE.

Results
The value obtained for the energy of formation from the pure elements is -0.109 eV per atom. The density of states at the Fermi level comes out at 9.6 states/eV/f.u.

abc: 2.845 8.552 8.552
angles: 90.00 90.00 90.00
Sites, in units of the cell vectors:
B: 0.000 0.623 0.877
Fe: 0.500 0.285 0.565
Fe: 0.500 0.715 0.435
Fe: 0.500 0.935 0.215
Mn: 0.000 0.000 0.000
Tc: 0.000 0.821 0.679
Tc: 0.000 0.679 0.179
Fe: 0.500 0.785 0.935
Fe: 0.500 0.065 0.785
Fe: 0.500 0.215 0.065
Fe: 0.500 0.500 0.000
B: 0.000 0.377 0.123
Fe: 0.500 0.435 0.285
Fe: 0.500 0.565 0.715
Mn: 0.000 0.500 0.500
Fe: 0.500 0.000 0.500
Tc: 0.000 0.179 0.321
Tc: 0.000 0.321 0.821
B: 0.000 0.123 0.623
B: 0.000 0.877 0.377

---

Crystalline TiAl5Ru at its relaxed geometry. Source: Alexandria, functional PBE.

Results
The value obtained for the energy of formation from the pure elements is -0.459 eV per atom. The density of states at the Fermi level comes out at 3.0 states/eV/f.u.

abc: 4.142 4.142 6.648
angles: 90.00 90.00 90.00
Sites, in units of the cell vectors:
Al: 0.000 0.500 0.293
Ru: 0.000 0.000 0.500
Ti: 0.000 0.000 0.000
Al: 0.500 0.000 0.293
Al: 0.500 0.000 0.707
Al: 0.500 0.500 0.000
Al: 0.000 0.500 0.707

---

Computed calculated total energy, in the same sequence as the records: -2.965, -5.047, -6.318, -5.081, -4.332, -6.795, -5.518, -4.637, -7.523, -5.741, -8.666, -5.585 eV/atom.